Density functional theory data (PBE-GGA) for Ac2GeAu after structural relaxation.

Lattice parameters (Å, degrees): 4.706 6.401 8.860 111.38 90.00 90.00
Element x y z (fractional)
Ge (0.750, 0.676, 0.295)
Ac (0.750, 0.226, 0.426)
Ac (0.250, 0.774, 0.574)
Au (0.750, 0.660, 0.791)
Ac (0.250, 0.772, 0.065)
Au (0.250, 0.340, 0.209)
Ge (0.250, 0.324, 0.705)
Ac (0.750, 0.228, 0.935)

Properties
- Formation energy from the elements: -738 meV/atom
- V: 31.06 Å³/atom
- Symmetry: P2_1/m
- Total magnetization: 0.00 μB/f.u.
- Calculated total energy: -4.77 eV/atom

=====

Density functional theory data (PBE-GGA) for Ac2Ge2Au after structural relaxation.

Lattice parameters (Å, degrees): 4.607 6.307 10.592 83.32 77.44 68.58
Element x y z (fractional)
Ac (0.289, 0.774, 0.648)
Ge (0.621, 0.868, 0.891)
Ac (0.098, 0.706, 0.098)
Ge (0.020, 0.363, 0.597)
Ac (0.711, 0.226, 0.352)
Ac (0.902, 0.294, 0.902)
Ge (0.980, 0.637, 0.403)
Ge (0.379, 0.132, 0.109)
Au (0.569, 0.181, 0.681)
Au (0.431, 0.819, 0.319)

Properties
- Formation energy from the elements: -757 meV/atom
- V: 27.94 Å³/atom
- Symmetry: C2/m
- Energy relative to the lowest polymorph listed for this composition: 0.000 eV/atom
- Total magnetization: 0.00 μB/f.u.
- Calculated total energy: -4.90 eV/atom

=====

Density functional theory data (PBE-GGA) for Ac2Ge2Au3 after structural relaxation.

Lattice parameters (Å, degrees): 4.679 6.071 6.855 102.38 90.00 112.66
Element x y z (fractional)
Au (0.500, 0.000, 0.000)
Ac (0.871, 0.743, 0.230)
Au (0.604, 0.208, 0.411)
Ac (0.129, 0.257, 0.770)
Ge (0.820, 0.640, 0.707)
Au (0.396, 0.792, 0.589)
Ge (0.180, 0.360, 0.293)

Properties
- Formation energy from the elements: -651 meV/atom
- V: 24.97 Å³/atom
- Symmetry: C2/m
- Total magnetization: 0.00 μB/f.u.
- Calculated total energy: -4.55 eV/atom

=====

| no. | density (g/cm³) |
| --- | --- |
| 1 | 9.67 |
| 2 | 9.46 |
| 3 | 11.31 |